Al2Ru2Pb | PBE | relaxed

Output
- VASP energy (eV/atom) = -5.811
- E_form (kJ per mole of atoms) = 13
- calculated density (Mg/m³) = 8.22

abc: 4.4659 4.4659 5.6554
angles: 66.74 66.74 90.00
Positions (direct):
Al 0.3544 0.3544 0.2912
Al 0.6456 0.6456 0.7088
Ru 0.2500 0.7500 0.5000
Ru 0.7500 0.2500 0.5000
Pb 0.0000 0.0000 0.0000

CrFePb2 | PBE | relaxed

Output
- VASP energy (eV/atom) = -5.613
- E_form (kJ per mole of atoms) = 74
- calculated density (Mg/m³) = 11.31

abc: 4.7686 4.7686 4.7686
angles: 60.00 60.00 60.00
Site moments in Bohr magnetons follow the coordinates.
Positions (direct):
Pb 0.7500 0.7500 0.7500  -0.06
Pb 0.2500 0.2500 0.2500  -0.06
Cr 0.0000 0.0000 0.0000  3.44
Fe 0.5000 0.5000 0.5000  0.23

Ac3Nd2Tl4Ag2 | PBE | relaxed

Output
- VASP energy (eV/atom) = -3.564
- E_form (kJ per mole of atoms) = -19
- calculated density (Mg/m³) = 9.14

abc: 5.1524 5.1524 15.8203
angles: 90.00 90.00 120.00
Positions (direct):
Ac 0.0000 0.0000 0.2428
Ac 0.0000 0.0000 0.0000
Ac 0.0000 0.0000 0.7572
Nd 0.6667 0.3333 0.4266
Nd 0.3333 0.6667 0.5734
Tl 0.6667 0.3333 0.6416
Tl 0.6667 0.3333 0.1262
Tl 0.3333 0.6667 0.3584
Tl 0.3333 0.6667 0.8738
Ag 0.6667 0.3333 0.8772
Ag 0.3333 0.6667 0.1228

Ti2GaRh3 | PBE | relaxed

Output
- VASP energy (eV/atom) = -7.612
- E_form (kJ per mole of atoms) = -77
- calculated density (Mg/m³) = 8.99

abc: 4.3353 4.3353 10.7662
angles: 90.00 90.00 120.00
Positions (direct):
Rh 0.0000 0.0000 0.7472
Rh 0.3333 0.6667 0.9066
Rh 0.6667 0.3333 0.0934
Rh 0.3333 0.6667 0.4185
Rh 0.6667 0.3333 0.5815
Rh 0.0000 0.0000 0.2528
Ga 0.3333 0.6667 0.6635
Ga 0.6667 0.3333 0.3365
Ti 0.0000 0.0000 0.5000
Ti 0.6667 0.3333 0.8315
Ti 0.3333 0.6667 0.1685
Ti 0.0000 0.0000 0.0000

CsHfMnS4 | PBE | relaxed

Output
- uncorrected formation energy (kcal/mol of atoms) = -25.40
- VASP energy (eV/atom) = -6.314
- calculated density (Mg/m³) = 4.31

abc: 6.4258 6.8405 10.2930
angles: 90.00 122.53 90.00
Site moments in Bohr magnetons follow the coordinates.
Positions (direct):
Mn 0.7870 0.2500 0.6433  3.38
Mn 0.2130 0.7500 0.3567  3.38
S 0.9379 0.9935 0.3276  -0.01
S 0.0621 0.4935 0.6724  -0.01
S 0.9379 0.5065 0.3276  -0.01
S 0.3737 0.7500 0.2079  0.02
S 0.6263 0.2500 0.7921  0.02
S 0.0621 0.0065 0.6724  -0.01
S 0.4430 0.2500 0.4153  0.03
S 0.5570 0.7500 0.5847  0.03
Hf 0.2089 0.2500 0.5458  0.13
Hf 0.7911 0.7500 0.4542  0.13
Cs 0.3501 0.2500 0.0626  0.01
Cs 0.6499 0.7500 0.9374  0.01

Zr3CdAs | PBE | relaxed

Output
- VASP energy (eV/atom) = -6.301
- E_form (kJ per mole of atoms) = -6
- calculated density (Mg/m³) = 6.05

abc: 5.0191 5.0191 5.0191
angles: 90.00 90.00 90.00
Positions (direct):
Zr 0.0000 0.0000 0.5000
Zr 0.0000 0.5000 0.0000
Zr 0.5000 0.0000 0.0000
As 0.0000 0.0000 0.0000
Cd 0.5000 0.5000 0.5000